Entry from Alexandria via LeMat-Bulk: an optimized crystal structure of CuPtS2Cl (GGA-PBE).

The structure in CIF format:
```
data_CuPtS2Cl
_chemical_formula_sum 'Cu1 Pt1 S2 Cl1'
_cell_length_a 4.692
_cell_length_b 4.692
_cell_length_c 4.939
_cell_angle_alpha 90.00
_cell_angle_beta 90.00
_cell_angle_gamma 90.00
_space_group_name_H-M_alt 'P 1'
_space_group_IT_number 1
loop_
_space_group_symop_operation_xyz
'x,y,z'
loop_
_atom_site_label
_atom_site_type_symbol
_atom_site_fract_x
_atom_site_fract_y
_atom_site_fract_z
Cu1 Cu 0.000 0.000 0.000
Pt1 Pt 0.500 0.500 0.500
S1 S 0.000 0.500 0.500
S2 S 0.500 0.000 0.500
Cl1 Cl 0.500 0.500 0.000
```

Energy above the most stable polymorph in this dataset: 0.0000 eV/atom
Symmetry: P4/mmm (123)
M_tot: 0.19 μB per formula unit
Formation energy (no corrections): 598 meV per atom


Entry from Alexandria via LeMat-Bulk: an optimized crystal structure of CuPtS2Cl (GGA-PBE).

The structure in CIF format:
```
data_CuPtS2Cl
_chemical_formula_sum 'Cu1 Pt1 S2 Cl1'
_cell_length_a 4.625
_cell_length_b 4.625
_cell_length_c 4.344
_cell_angle_alpha 90.00
_cell_angle_beta 90.00
_cell_angle_gamma 90.00
_space_group_name_H-M_alt 'P 1'
_space_group_IT_number 1
loop_
_space_group_symop_operation_xyz
'x,y,z'
loop_
_atom_site_label
_atom_site_type_symbol
_atom_site_fract_x
_atom_site_fract_y
_atom_site_fract_z
Cu1 Cu 0.000 0.000 0.000
Pt1 Pt 0.500 0.500 0.500
S1 S 0.000 0.500 0.000
S2 S 0.500 0.000 0.000
Cl1 Cl 0.000 0.000 0.500
```

Energy above the most stable polymorph in this dataset: 0.2285 eV/atom
Symmetry: P4/mmm (123)
M_tot: 0.00 μB per formula unit
Formation energy (no corrections): 827 meV per atom


Entry from Alexandria via LeMat-Bulk: an optimized crystal structure of TlCu2PtCl8 (GGA-PBE).

The structure in CIF format:
```
data_TlCu2PtCl8
_chemical_formula_sum 'Tl1 Cu2 Pt1 Cl8'
_cell_length_a 6.240
_cell_length_b 6.265
_cell_length_c 8.737
_cell_angle_alpha 72.32
_cell_angle_beta 72.93
_cell_angle_gamma 74.46
_space_group_name_H-M_alt 'P 1'
_space_group_IT_number 1
loop_
_space_group_symop_operation_xyz
'x,y,z'
loop_
_atom_site_label
_atom_site_type_symbol
_atom_site_fract_x
_atom_site_fract_y
_atom_site_fract_z
Tl1 Tl 0.000 0.000 0.000
Cu1 Cu 0.438 0.439 0.213
Cu2 Cu 0.562 0.561 0.787
Pt1 Pt 0.000 0.000 0.500
Cl1 Cl 0.177 0.730 0.707
Cl2 Cl 0.249 0.247 0.463
Cl3 Cl 0.268 0.820 0.297
Cl4 Cl 0.348 0.335 0.004
Cl5 Cl 0.652 0.665 0.996
Cl6 Cl 0.732 0.180 0.703
Cl7 Cl 0.751 0.753 0.537
Cl8 Cl 0.823 0.270 0.293
```

Symmetry: P-1 (2)
M_tot: 1.04 μB per formula unit
Formation energy (no corrections): -531 meV per atom


Entry from Alexandria via LeMat-Bulk: an optimized crystal structure of PuCuCl6 (GGA-PBE).

The structure in CIF format:
```
data_PuCuCl6
_chemical_formula_sum 'Pu1 Cu1 Cl6'
_cell_length_a 6.905
_cell_length_b 6.905
_cell_length_c 6.905
_cell_angle_alpha 55.80
_cell_angle_beta 55.80
_cell_angle_gamma 55.80
_space_group_name_H-M_alt 'P 1'
_space_group_IT_number 1
loop_
_space_group_symop_operation_xyz
'x,y,z'
loop_
_atom_site_label
_atom_site_type_symbol
_atom_site_fract_x
_atom_site_fract_y
_atom_site_fract_z
Pu1 Pu 0.000 0.000 0.000
Cu1 Cu 0.500 0.500 0.500
Cl1 Cl 0.120 0.745 0.391
Cl2 Cl 0.255 0.609 0.880
Cl3 Cl 0.391 0.120 0.745
Cl4 Cl 0.609 0.880 0.255
Cl5 Cl 0.745 0.391 0.120
Cl6 Cl 0.880 0.255 0.609
```

Energy above the most stable polymorph in this dataset: 0.0327 eV/atom
Symmetry: R-3 (148)
M_tot: 3.00 μB per formula unit
Formation energy (no corrections): -1173 meV per atom


Entry from Alexandria via LeMat-Bulk: an optimized crystal structure of PuCu2Cl6 (GGA-PBE).

The structure in CIF format:
```
data_PuCu2Cl6
_chemical_formula_sum 'Pu2 Cu4 Cl12'
_cell_length_a 6.421
_cell_length_b 7.644
_cell_length_c 12.764
_cell_angle_alpha 90.00
_cell_angle_beta 112.17
_cell_angle_gamma 90.00
_space_group_name_H-M_alt 'P 1'
_space_group_IT_number 1
loop_
_space_group_symop_operation_xyz
'x,y,z'
loop_
_atom_site_label
_atom_site_type_symbol
_atom_site_fract_x
_atom_site_fract_y
_atom_site_fract_z
Pu1 Pu 0.000 0.000 0.000
Pu2 Pu 0.000 0.500 0.500
Cu1 Cu 0.498 0.146 0.071
Cu2 Cu 0.498 0.354 0.571
Cu3 Cu 0.502 0.646 0.429
Cu4 Cu 0.502 0.854 0.929
Cl1 Cl 0.155 0.736 0.392
Cl2 Cl 0.155 0.764 0.892
Cl3 Cl 0.198 0.249 0.430
Cl4 Cl 0.198 0.251 0.930
Cl5 Cl 0.381 0.528 0.678
Cl6 Cl 0.381 0.972 0.178
Cl7 Cl 0.619 0.028 0.822
Cl8 Cl 0.619 0.472 0.322
Cl9 Cl 0.802 0.749 0.070
Cl10 Cl 0.802 0.751 0.570
Cl11 Cl 0.845 0.236 0.108
Cl12 Cl 0.845 0.264 0.608
```

Energy above the most stable polymorph in this dataset: 0.0000 eV/atom
Symmetry: P2_1/c (14)
M_tot: 4.00 μB per formula unit
Formation energy (no corrections): -1164 meV per atom


Entry from Alexandria via LeMat-Bulk: an optimized crystal structure of PuCu2Cl6 (GGA-PBE).

The structure in CIF format:
```
data_PuCu2Cl6
_chemical_formula_sum 'Pu2 Cu4 Cl12'
_cell_length_a 8.940
_cell_length_b 8.940
_cell_length_c 6.786
_cell_angle_alpha 96.06
_cell_angle_beta 96.06
_cell_angle_gamma 80.78
_space_group_name_H-M_alt 'P 1'
_space_group_IT_number 1
loop_
_space_group_symop_operation_xyz
'x,y,z'
loop_
_atom_site_label
_atom_site_type_symbol
_atom_site_fract_x
_atom_site_fract_y
_atom_site_fract_z
Pu1 Pu 0.101 0.899 0.750
Pu2 Pu 0.899 0.101 0.250
Cu1 Cu 0.321 0.455 0.726
Cu2 Cu 0.455 0.321 0.226
Cu3 Cu 0.545 0.679 0.774
Cu4 Cu 0.679 0.545 0.274
Cl1 Cl 0.040 0.177 0.608
Cl2 Cl 0.135 0.622 0.864
Cl3 Cl 0.177 0.040 0.108
Cl4 Cl 0.287 0.468 0.399
Cl5 Cl 0.378 0.865 0.636
Cl6 Cl 0.468 0.287 0.899
Cl7 Cl 0.532 0.713 0.101
Cl8 Cl 0.622 0.135 0.364
Cl9 Cl 0.713 0.532 0.601
Cl10 Cl 0.823 0.960 0.892
Cl11 Cl 0.865 0.378 0.136
Cl12 Cl 0.960 0.823 0.392
```

Energy above the most stable polymorph in this dataset: 0.0370 eV/atom
Symmetry: C2/c (15)
M_tot: 3.95 μB per formula unit
Formation energy (no corrections): -1127 meV per atom


Entry from Alexandria via LeMat-Bulk: an optimized crystal structure of PuCu5Cl12 (GGA-PBE).

The structure in CIF format:
```
data_PuCu5Cl12
_chemical_formula_sum 'Pu1 Cu5 Cl12'
_cell_length_a 6.166
_cell_length_b 6.166
_cell_length_c 13.131
_cell_angle_alpha 96.31
_cell_angle_beta 96.31
_cell_angle_gamma 115.32
_space_group_name_H-M_alt 'P 1'
_space_group_IT_number 1
loop_
_space_group_symop_operation_xyz
'x,y,z'
loop_
_atom_site_label
_atom_site_type_symbol
_atom_site_fract_x
_atom_site_fract_y
_atom_site_fract_z
Pu1 Pu 0.000 0.000 0.000
Cu1 Cu 0.000 0.000 0.500
Cu2 Cu 0.333 0.667 0.500
Cu3 Cu 0.364 0.636 0.000
Cu4 Cu 0.636 0.364 0.000
Cu5 Cu 0.667 0.333 0.500
Cl1 Cl 0.097 0.429 0.110
Cl2 Cl 0.101 0.767 0.607
Cl3 Cl 0.233 0.899 0.393
Cl4 Cl 0.263 0.263 0.871
Cl5 Cl 0.429 0.097 0.110
Cl6 Cl 0.434 0.434 0.607
Cl7 Cl 0.566 0.566 0.393
Cl8 Cl 0.571 0.903 0.890
Cl9 Cl 0.737 0.737 0.129
Cl10 Cl 0.767 0.101 0.607
Cl11 Cl 0.899 0.233 0.393
Cl12 Cl 0.903 0.571 0.890
```

Symmetry: C2/m (12)
M_tot: 0.95 μB per formula unit
Formation energy (no corrections): -776 meV per atom


Entry from Alexandria via LeMat-Bulk: an optimized crystal structure of PuCu3Cl8 (GGA-PBE).

The structure in CIF format:
```
data_PuCu3Cl8
_chemical_formula_sum 'Pu1 Cu3 Cl8'
_cell_length_a 7.864
_cell_length_b 7.864
_cell_length_c 7.427
_cell_angle_alpha 115.17
_cell_angle_beta 115.17
_cell_angle_gamma 52.97
_space_group_name_H-M_alt 'P 1'
_space_group_IT_number 1
loop_
_space_group_symop_operation_xyz
'x,y,z'
loop_
_atom_site_label
_atom_site_type_symbol
_atom_site_fract_x
_atom_site_fract_y
_atom_site_fract_z
Pu1 Pu 0.000 0.000 0.000
Cu1 Cu 0.000 0.500 0.500
Cu2 Cu 0.500 0.000 0.500
Cu3 Cu 0.500 0.500 0.000
Cl1 Cl 0.215 0.215 0.229
Cl2 Cl 0.258 0.258 0.698
Cl3 Cl 0.259 0.717 0.229
Cl4 Cl 0.283 0.741 0.771
Cl5 Cl 0.717 0.259 0.229
Cl6 Cl 0.741 0.283 0.771
Cl7 Cl 0.742 0.742 0.302
Cl8 Cl 0.785 0.785 0.771
```

Symmetry: C2/m (12)
M_tot: 2.98 μB per formula unit
Formation energy (no corrections): -953 meV per atom


Entry from Alexandria via LeMat-Bulk: an optimized crystal structure of PuCu3Cl9 (GGA-PBE).

The structure in CIF format:
```
data_PuCu3Cl9
_chemical_formula_sum 'Pu2 Cu6 Cl18'
_cell_length_a 9.930
_cell_length_b 9.930
_cell_length_c 12.781
_cell_angle_alpha 123.06
_cell_angle_beta 123.06
_cell_angle_gamma 52.90
_space_group_name_H-M_alt 'P 1'
_space_group_IT_number 1
loop_
_space_group_symop_operation_xyz
'x,y,z'
loop_
_atom_site_label
_atom_site_type_symbol
_atom_site_fract_x
_atom_site_fract_y
_atom_site_fract_z
Pu1 Pu 0.223 0.777 0.500
Pu2 Pu 0.777 0.223 0.000
Cu1 Cu 0.017 0.272 0.841
Cu2 Cu 0.272 0.017 0.341
Cu3 Cu 0.273 0.438 0.661
Cu4 Cu 0.438 0.273 0.161
Cu5 Cu 0.651 0.810 0.227
Cu6 Cu 0.810 0.651 0.727
Cl1 Cl 0.095 0.140 0.169
Cl2 Cl 0.102 0.918 0.324
Cl3 Cl 0.140 0.095 0.669
Cl4 Cl 0.194 0.400 0.012
Cl5 Cl 0.312 0.661 0.679
Cl6 Cl 0.345 0.448 0.346
Cl7 Cl 0.400 0.194 0.512
Cl8 Cl 0.448 0.345 0.846
Cl9 Cl 0.504 0.768 0.280
Cl10 Cl 0.526 0.771 0.578
Cl11 Cl 0.568 0.978 0.120
Cl12 Cl 0.661 0.312 0.179
Cl13 Cl 0.768 0.504 0.780
Cl14 Cl 0.771 0.526 0.078
Cl15 Cl 0.815 0.902 0.917
Cl16 Cl 0.902 0.815 0.417
Cl17 Cl 0.918 0.102 0.824
Cl18 Cl 0.978 0.568 0.620
```

Symmetry: Cc (9)
M_tot: 1.90 μB per formula unit
Formation energy (no corrections): -924 meV per atom


Entry from Alexandria via LeMat-Bulk: an optimized crystal structure of PuCuCl6 (GGA-PBE).

The structure in CIF format:
```
data_PuCuCl6
_chemical_formula_sum 'Pu2 Cu2 Cl12'
_cell_length_a 6.649
_cell_length_b 12.008
_cell_length_c 6.656
_cell_angle_alpha 90.00
_cell_angle_beta 114.07
_cell_angle_gamma 90.00
_space_group_name_H-M_alt 'P 1'
_space_group_IT_number 1
loop_
_space_group_symop_operation_xyz
'x,y,z'
loop_
_atom_site_label
_atom_site_type_symbol
_atom_site_fract_x
_atom_site_fract_y
_atom_site_fract_z
Pu1 Pu 0.000 0.000 0.000
Pu2 Pu 0.500 0.500 0.000
Cu1 Cu 0.000 0.500 0.500
Cu2 Cu 0.500 0.000 0.500
Cl1 Cl 0.222 0.359 0.724
Cl2 Cl 0.222 0.641 0.724
Cl3 Cl 0.223 0.000 0.775
Cl4 Cl 0.277 0.500 0.225
Cl5 Cl 0.278 0.141 0.276
Cl6 Cl 0.278 0.859 0.276
Cl7 Cl 0.722 0.141 0.724
Cl8 Cl 0.722 0.859 0.724
Cl9 Cl 0.723 0.500 0.775
Cl10 Cl 0.777 0.000 0.225
Cl11 Cl 0.778 0.359 0.276
Cl12 Cl 0.778 0.641 0.276
```

Energy above the most stable polymorph in this dataset: 0.0000 eV/atom
Symmetry: C2/m (12)
M_tot: 3.00 μB per formula unit
Formation energy (no corrections): -1206 meV per atom


Entry from Alexandria via LeMat-Bulk: an optimized crystal structure of RbPu2CuCl8 (GGA-PBE).

The structure in CIF format:
```
data_RbPu2CuCl8
_chemical_formula_sum 'Rb1 Pu2 Cu1 Cl8'
_cell_length_a 6.613
_cell_length_b 8.297
_cell_length_c 8.376
_cell_angle_alpha 99.87
_cell_angle_beta 90.93
_cell_angle_gamma 111.98
_space_group_name_H-M_alt 'P 1'
_space_group_IT_number 1
loop_
_space_group_symop_operation_xyz
'x,y,z'
loop_
_atom_site_label
_atom_site_type_symbol
_atom_site_fract_x
_atom_site_fract_y
_atom_site_fract_z
Rb1 Rb 0.000 0.000 0.000
Pu1 Pu 0.494 0.471 0.741
Pu2 Pu 0.506 0.529 0.259
Cu1 Cu 0.000 0.000 0.500
Cl1 Cl 0.056 0.218 0.694
Cl2 Cl 0.084 0.371 0.230
Cl3 Cl 0.471 0.708 0.559
Cl4 Cl 0.475 0.707 0.012
Cl5 Cl 0.525 0.293 0.988
Cl6 Cl 0.529 0.292 0.441
Cl7 Cl 0.916 0.629 0.770
Cl8 Cl 0.944 0.782 0.306
```

Symmetry: P-1 (2)
M_tot: 10.00 μB per formula unit
Formation energy (no corrections): -1643 meV per atom


Entry from Alexandria via LeMat-Bulk: an optimized crystal structure of Rb2PuCu2Cl6 (GGA-PBE).

The structure in CIF format:
```
data_Rb2PuCu2Cl6
_chemical_formula_sum 'Rb2 Pu1 Cu2 Cl6'
_cell_length_a 7.464
_cell_length_b 7.464
_cell_length_c 8.034
_cell_angle_alpha 116.90
_cell_angle_beta 116.90
_cell_angle_gamma 60.62
_space_group_name_H-M_alt 'P 1'
_space_group_IT_number 1
loop_
_space_group_symop_operation_xyz
'x,y,z'
loop_
_atom_site_label
_atom_site_type_symbol
_atom_site_fract_x
_atom_site_fract_y
_atom_site_fract_z
Rb1 Rb 0.224 0.224 0.200
Rb2 Rb 0.776 0.776 0.800
Pu1 Pu 0.000 0.000 0.500
Cu1 Cu 0.458 0.458 0.817
Cu2 Cu 0.542 0.542 0.183
Cl1 Cl 0.196 0.702 0.205
Cl2 Cl 0.249 0.249 0.636
Cl3 Cl 0.298 0.804 0.795
Cl4 Cl 0.702 0.196 0.205
Cl5 Cl 0.751 0.751 0.364
Cl6 Cl 0.804 0.298 0.795
```

Symmetry: C2/m (12)
M_tot: 6.00 μB per formula unit
Formation energy (no corrections): -1335 meV per atom